(1)
DyZrIr after structural relaxation, computed with PBE-GGA.

Lattice parameters (Å, degrees): 4.6218 12.2650 7.0824 90.00 90.00 90.00
Closest atoms and distances in Å follow each position.
Space group Amm2 (No. 38)
Unique sites:
Dy  0.0000  0.0000  0.0000 x2  5 Ir 2.93-3.14
Dy  0.0000  0.2078  0.3769 x4  5 Ir 2.95-3.14, 2 Zr 3.28
Zr  0.5000  0.0000  0.3296 x2  4 Ir 2.68-2.94
Zr  0.5000  0.1279  0.7121 x4  4 Ir 2.68-2.93
Ir  0.0000  0.0000  0.5859 x2  6 Zr 2.93-2.94, 3 Dy 2.93-2.95
Ir  0.5000  0.1663  0.0845 x4  3 Zr 2.68

## Properties
* crystal system: orthorhombic
* energy relative to the lowest polymorph listed for this composition: 0 meV/atom
* calculated density: 11.067 g cm⁻³
* E_tot: -144.523 eV per cell
* energy of formation from the pure elements: -0.692 eV per atom
* total magnetization: 0.00 μB per cell

---

(2)
Ba2MgSb after structural relaxation, computed with PBE-GGA.

Lattice parameters (Å, degrees): 8.8733 5.0882 9.2224 90.00 108.36 90.00
Closest atoms and distances in Å follow each position.
Space group C2/m (No. 12)
Unique sites:
Ba  0.2349  0.0000  0.2062 x4  3 Sb 3.45-3.46
Mg  0.0000  0.0000  0.5000 x2  6 Ba 3.90-3.92
Sb  0.0000  0.5000  0.0000 x2  6 Ba 3.45-3.46

## Properties
* crystal system: monoclinic
* energy relative to the lowest polymorph listed for this composition: 113 meV/atom
* raw formation energy: -0.44 eV/atom
* calculated density: 3.536 g cm⁻³
* E_tot: -22.631 eV per cell
* total magnetization: 0.00 μB per cell

---

(3)
ZrGa2Cl4F2 after structural relaxation, computed with PBE-GGA.

Lattice parameters (Å, degrees): 12.3532 7.5015 5.6878 90.00 100.69 90.00
Closest atoms and distances in Å follow each position.
Space group C2/m (No. 12)
Unique sites:
Zr  0.0000  0.0000  0.0000 x2  2 F 2.03
Ga  0.2425  0.0000  0.6531 x4  1 F 2.29
Cl  0.1052  0.2328  0.8214 x8  1 Zr 2.50, 1 Ga 2.73
F  0.1188  0.0000  0.3003 x4  1 Zr 2.03

## Properties
* crystal system: monoclinic
* raw formation energy: -1.81 eV/atom
* calculated density: 2.632 g cm⁻³
* E_tot: -84.017 eV per cell
* total magnetization: 0.00 μB per cell